Ba2SrNCl: optimized geometry, PBE.

Cell: 6.9784 6.9784 5.3054 Å, 90.00 90.00 90.00°
Last column: nearest neighbours and their distance in Å.
Space group P4/mmm (No. 123)
Symmetry-distinct sites (fractional):
Ba (0.0000, 0.5000, 0.0000) x2  2 Sr 3.49
Sr (0.0000, 0.0000, 0.0000) x1  2 Cl 2.65
N (0.5000, 0.5000, 0.5000) x1  8 Ba 4.38
Cl (0.0000, 0.0000, 0.5000) x1  2 Sr 2.65

Values from the calculation:
Its calculated volume is 51.67 Å³/atom. The uncorrected formation energy comes out at 377 kJ/mol of formula units.

---

Tc4Ir3Rh2: optimized geometry, PBE.

Cell: 5.1411 6.9384 8.3947 Å, 79.16 85.82 70.89°
Last column: nearest neighbours and their distance in Å.
Space group P-1 (No. 2)
Symmetry-distinct sites (fractional):
Tc (0.0414, 0.1466, 0.0694) x2  5 Ir 2.63-2.75, 4 Tc 2.68-2.72, 2 Rh 2.70-2.73
Tc (0.0719, 0.0404, 0.6329) x2  4 Tc 2.61-2.83, 4 Ir 2.61-2.76, 3 Rh 2.70-2.71
Tc (0.2351, 0.5576, 0.4814) x2  4 Ir 2.59-2.78, 4 Tc 2.60-2.84, 2 Rh 2.64-2.72
Tc (0.3446, 0.7468, 0.1642) x2  4 Ir 2.64-2.75, 3 Rh 2.65-2.66, 4 Tc 2.70-2.84
Ir (0.1109, 0.3482, 0.7624) x2  2 Ir 2.63-2.71, 6 Tc 2.64-2.75, 3 Rh 2.72-2.76
Ir (0.1541, 0.2567, 0.3326) x2  5 Tc 2.59-2.78, 2 Ir 2.63-2.80, 3 Rh 2.70-2.76
Ir (0.4252, 0.9506, 0.8660) x2  6 Tc 2.61-2.71, 3 Ir 2.70-2.80, 2 Rh 2.72-2.73
Rh (0.2717, 0.4509, 0.0317) x2  2 Rh 2.64-2.72, 4 Tc 2.65-2.73, 4 Ir 2.72-2.76
Rh (0.4691, 0.8503, 0.4321) x2  6 Tc 2.64-2.72, 1 Rh 2.66, 4 Ir 2.70-2.76

Values from the calculation:
Its calculated volume is 15.44 Å³/atom. The formation energy comes out at 0.08 eV per atom.

---

InTe2Cl: optimized geometry, PBE.

Cell: 4.4799 4.4799 25.3696 Å, 90.00 90.00 120.00°
Last column: nearest neighbours and their distance in Å.
Space group R-3m (No. 166, hexagonal axes)
Symmetry-distinct sites (fractional):
In (0.0000, 0.0000, 0.0000) x3  6 Te 3.02
Te (0.0000, 0.0000, 0.3947) x6  1 Cl 2.67
Cl (0.0000, 0.0000, 0.5000) x3  2 Te 2.67

Values from the calculation:
Its calculated volume is 36.74 Å³/atom. The value obtained for the energy above the most stable polymorph in this dataset is 0.68 eV per formula unit. The uncorrected formation energy comes out at -77 kJ/mol of formula units.

---

Tb3PrDy6: optimized geometry, PBE.

Cell: 9.8503 9.8503 11.6786 Å, 90.00 90.00 120.00°
Last column: nearest neighbours and their distance in Å.
Space group R3 (No. 146, hexagonal axes)
Symmetry-distinct sites (fractional):
Tb (0.0000, 0.0000, 0.0000) x3  1 Tb 2.88, 1 Pr 2.96
Tb (0.0000, 0.0000, 0.2466) x3  2 Tb 2.88-2.89
Tb (0.0000, 0.0000, 0.4937) x3  1 Tb 2.89, 1 Pr 2.95
Pr (0.0000, 0.0000, 0.7464) x3  2 Tb 2.95-2.96, 3 Dy 3.25
Dy (0.9998, 0.3303, 0.7459) x9  1 Pr 3.25, 2 Tb 3.43
Dy (0.9997, 0.6720, 0.2459) x9  3 Tb 3.23-3.46

Values from the calculation:
Its calculated volume is 32.71 Å³/atom. The formation energy comes out at 0.28 eV per atom. The value obtained for the energy above the most stable polymorph in this dataset is 1.27 eV per formula unit.

---

LaPmHg4: optimized geometry, PBE.

Cell: 8.5649 8.5649 8.5649 Å, 90.00 90.00 90.00°
Last column: nearest neighbours and their distance in Å.
Space group F-43m (No. 216)
Symmetry-distinct sites (fractional):
La (0.0000, 0.0000, 0.0000) x4  12 Hg 3.55, 4 Pm 3.71
Pm (0.2500, 0.2500, 0.7500) x4  12 Hg 3.55, 4 La 3.71
Hg (0.1248, 0.1248, 0.3752) x16  6 Hg 3.02-3.03

Values from the calculation:
Its calculated volume is 26.18 Å³/atom. The formation energy comes out at -0.31 eV per atom. The value obtained for the energy above the most stable polymorph in this dataset is 0.89 eV per formula unit.

---

Sb2AuI8: optimized geometry, PBE.

Cell: 14.2084 7.5779 12.0481 Å, 90.00 117.43 90.00°
Last column: nearest neighbours and their distance in Å.
Space group C2/m (No. 12)
Symmetry-distinct sites (fractional):
Sb (0.1053, 0.0000, 0.4016) x4  5 I 2.95-3.10
Au (0.0000, 0.0000, 0.0000) x2  4 I 2.75
I (0.0552, 0.2509, 0.1848) x8  1 Au 2.75, 1 Sb 3.04
I (0.1345, 0.0000, 0.6718) x4  2 Sb 3.09-3.10
I (0.1640, 0.5000, 0.5128) x4  1 Sb 2.95

Values from the calculation:
Its calculated volume is 52.33 Å³/atom. The uncorrected formation energy comes out at -165 kJ/mol of formula units.

---

TcAs2Os: optimized geometry, PBE.

Cell: 6.1609 6.1609 6.1609 Å, 90.00 90.00 90.00°
Last column: nearest neighbours and their distance in Å.
Space group Fm-3m (No. 225)
Symmetry-distinct sites (fractional):
Tc (0.0000, 0.0000, 0.0000) x4  8 As 2.67
As (0.2500, 0.2500, 0.2500) x8  4 Tc 2.67, 4 Os 2.67
Os (0.0000, 0.0000, 0.5000) x4  8 As 2.67

Values from the calculation:
Its calculated volume is 14.62 Å³/atom. The formation energy comes out at 0.15 eV per atom. The value obtained for the energy above the most stable polymorph in this dataset is 0.49 eV per formula unit.

---

TaRe2PdPb: optimized geometry, PBE.

Cell: 4.7683 4.7683 4.8332 Å, 90.00 90.00 90.00°
Last column: nearest neighbours and their distance in Å.
Space group P4/mmm (No. 123)
Symmetry-distinct sites (fractional):
Ta (0.0000, 0.0000, 0.0000) x1  4 Pb 3.37, 8 Re 3.39
Re (0.0000, 0.5000, 0.5000) x2  2 Pd 2.38
Pd (0.5000, 0.5000, 0.5000) x1  4 Re 2.38, 2 Pb 2.42
Pb (0.5000, 0.5000, 0.0000) x1  2 Pd 2.42

Values from the calculation:
Its calculated volume is 21.98 Å³/atom. The formation energy comes out at 2.26 eV per atom.

---

CsCa2MgBe: optimized geometry, PBE.

Cell: 5.7863 5.7863 6.3690 Å, 90.00 90.00 90.00°
Last column: nearest neighbours and their distance in Å.
Space group P4/mmm (No. 123)
Symmetry-distinct sites (fractional):
Cs (0.0000, 0.0000, 0.0000) x1  2 Be 3.18
Ca (0.0000, 0.5000, 0.5000) x2  2 Be 2.89
Mg (0.5000, 0.5000, 0.0000) x1  4 Cs 4.09, 8 Ca 4.30
Be (0.0000, 0.0000, 0.5000) x1  4 Ca 2.89, 2 Cs 3.18

Values from the calculation:
Its calculated volume is 42.65 Å³/atom. The formation energy comes out at 0.55 eV per atom.

---

Tb4CdAg: optimized geometry, PBE.

Cell: 6.1864 9.3214 6.1286 Å, 90.00 108.27 90.00°
Last column: nearest neighbours and their distance in Å.
Space group P2_1/c (No. 14)
Symmetry-distinct sites (fractional):
Tb (0.0946, 0.1640, 0.1023) x4  2 Ag 3.08-3.21, 1 Cd 3.16, 2 Tb 3.37-3.43
Tb (0.3969, 0.6594, 0.9138) x4  1 Ag 3.05, 2 Cd 3.17-3.25, 1 Tb 3.28
Cd (0.5000, 0.0000, 0.0000) x2  6 Tb 3.16-3.25
Ag (0.0000, 0.0000, 0.5000) x2  6 Tb 3.05-3.21

Values from the calculation:
Its calculated volume is 27.97 Å³/atom. The formation energy comes out at -0.04 eV per atom. The value obtained for the energy above the most stable polymorph in this dataset is 0.84 eV per formula unit.

---

Ta4Mn3Os: optimized geometry, PBE.

Cell: 3.0979 4.4018 8.7242 Å, 90.00 90.00 90.00°
Last column: nearest neighbours and their distance in Å.
Space group Pmmm (No. 47)
Symmetry-distinct sites (fractional):
Ta (0.0000, 0.0000, 0.0000) x1  8 Mn 2.67-2.69
Ta (0.0000, 0.0000, 0.5000) x1  4 Mn 2.68, 4 Os 2.69
Ta (0.0000, 0.5000, 0.2396) x2  6 Mn 2.60-2.69, 2 Os 2.75
Mn (0.5000, 0.0000, 0.2494) x2  8 Ta 2.67-2.69
Mn (0.5000, 0.5000, 0.0000) x1  8 Ta 2.60-2.69
Os (0.5000, 0.5000, 0.5000) x1  8 Ta 2.69-2.75

Values from the calculation:
Its calculated volume is 14.87 Å³/atom. The formation energy comes out at -0.27 eV per atom.

---

SnHg2Se4: optimized geometry, PBE.

Cell: 6.1275 6.1275 11.5643 Å, 90.00 90.00 90.00°
Last column: nearest neighbours and their distance in Å.
Space group I-42m (No. 121)
Symmetry-distinct sites (fractional):
Sn (0.0000, 0.0000, 0.0000) x2  4 Se 2.59
Hg (0.0000, 0.5000, 0.2500) x4  4 Se 2.71
Se (0.2393, 0.2393, 0.3912) x8  1 Sn 2.59, 2 Hg 2.71

Values from the calculation:
Its calculated volume is 31.01 Å³/atom. The uncorrected formation energy comes out at -178 kJ/mol of formula units.

---

- The lowest calculated volume belongs to which entry?
  TcAs2Os

---

- The lowest calculated volume belongs to which entry?
  TcAs2Os

---

- Which of these has the lowest calculated volume?
  TcAs2Os